An optimized crystal structure of ReAgSe2N. Source: Alexandria, functional PBE.

Summary:
Offset from the most stable computed form: 7.99 eV/f.u.
Formation energy from raw total energies: 1.963 eV/atom
N(E_F): 6.06 states/eV per cell
SG: P4/mmm
Spin magnetization: 3.96 μB per formula unit

```
ReAgSe2N
1.0
5.1132 0.0000 0.0000
0.0000 5.1132 0.0000
0.0000 0.0000 3.8468
Re Se Ag N
1 2 1 1
direct
0.5000 0.5000 0.5000 Re
0.0000 0.5000 0.0000 Se
0.5000 0.0000 0.0000 Se
0.0000 0.0000 0.0000 Ag
0.0000 0.0000 0.5000 N
```

An optimized crystal structure of ReSi2AgN. Source: Alexandria, functional PBE.

Summary:
Formation energy from raw total energies: 2.112 eV/atom
N(E_F): 3.26 states/eV per cell
SG: P4/mmm
Spin magnetization: 2.53 μB per formula unit

```
ReSi2AgN
1.0
-2.6281 -3.9213 -1.2105
3.1287 -1.8017 -0.9562
0.4200 -1.6868 4.5527
Re Si Ag N
1 2 1 1
direct
0.5000 0.5000 0.5000 Re
0.0000 0.0000 0.5000 Si
0.5000 0.0000 0.0000 Si
0.0000 0.0000 0.0000 Ag
0.0000 0.5000 0.0000 N
```

An optimized crystal structure of ReAgTeN2. Source: Alexandria, functional PBE.

Summary:
Offset from the most stable computed form: 10.82 eV/f.u.
Formation energy from raw total energies: 2.631 eV/atom
N(E_F): 7.71 states/eV per cell
SG: P4/mmm
Spin magnetization: 0.03 μB per formula unit

```
ReAgTeN2
1.0
-0.4453 -3.0427 2.5069
3.6949 -1.2018 -0.8023
1.9381 3.1645 4.1851
Re Te Ag N
1 1 1 2
direct
0.5000 0.5000 0.5000 Re
0.0000 0.0000 0.5000 Te
0.0000 0.0000 0.0000 Ag
0.0000 0.5000 0.0000 N
0.5000 0.0000 0.0000 N
```

An optimized crystal structure of ReAgTeN2. Source: Alexandria, functional PBE.

Summary:
Offset from the most stable computed form: 0.00 eV/f.u.
Formation energy from raw total energies: 0.468 eV/atom
N(E_F): 2.64 states/eV per cell
SG: P4/mmm
Spin magnetization: 0.00 μB per formula unit

```
ReAgTeN2
1.0
-1.7275 -3.0166 -1.7366
0.0794 -1.9723 3.3472
-5.2397 2.1872 1.4131
Re Te Ag N
1 1 1 2
direct
0.0000 0.0000 0.0000 Re
0.0000 0.0000 0.5000 Te
0.5000 0.5000 0.5000 Ag
0.0000 0.5000 0.0000 N
0.5000 0.0000 0.0000 N
```

An optimized crystal structure of ZnReAg2N. Source: Alexandria, functional PBE.

Summary:
Formation energy from raw total energies: 2.314 eV/atom
N(E_F): 3.06 states/eV per cell
SG: P4/mmm
Spin magnetization: 3.21 μB per formula unit

```
ZnReAg2N
1.0
4.6916 0.0000 0.0000
0.0000 4.8074 0.0000
0.0000 0.0000 4.6916
Re Zn Ag N
1 1 2 1
direct
0.0000 0.5000 0.0000 Re
0.0000 0.0000 0.0000 Zn
0.0000 0.0000 0.5000 Ag
0.5000 0.0000 0.0000 Ag
0.5000 0.5000 0.5000 N
```

An optimized crystal structure of AgRh2N. Source: Alexandria, functional PBE.

Summary:
Formation energy from raw total energies: 0.286 eV/atom
N(E_F): 2.75 states/eV per cell
SG: I-42d
Spin magnetization: 0.00 μB per formula unit

```
AgRh2N
1.0
-2.9495 -5.2310 -1.8211
-1.1189 -1.4580 6.0002
-4.6928 -1.8033 1.9683
Rh Ag N
4 2 2
direct
0.4986 0.1250 0.2500 Rh
0.2514 0.6250 0.2500 Rh
0.3750 0.5014 0.7500 Rh
0.8750 0.7486 0.7500 Rh
0.0000 0.0000 0.0000 Ag
0.7500 0.2500 0.5000 Ag
0.5000 0.5000 0.0000 N
0.2500 0.7500 0.5000 N
```

An optimized crystal structure of AgRh3N. Source: Alexandria, functional PBE.

Summary:
Offset from the most stable computed form: 13.29 eV/f.u.
Formation energy from raw total energies: 2.884 eV/atom
N(E_F): 15.70 states/eV per cell
SG: Pm-3m
Spin magnetization: 6.63 μB per formula unit

```
AgRh3N
1.0
4.9306 0.0000 0.0000
0.0000 4.9306 0.0000
0.0000 0.0000 4.9306
Rh Ag N
3 1 1
direct
0.0000 0.5000 0.0000 Rh
0.0000 0.0000 0.5000 Rh
0.5000 0.0000 0.0000 Rh
0.0000 0.0000 0.0000 Ag
0.5000 0.5000 0.5000 N
```

An optimized crystal structure of AgRh4N2. Source: Alexandria, functional PBE.

Summary:
Formation energy from raw total energies: 1.716 eV/atom
N(E_F): 6.23 states/eV per cell
SG: I4/mmm
Spin magnetization: 0.00 μB per formula unit

```
AgRh4N2
1.0
-2.5360 3.0732 -2.6272
-4.0285 -2.1838 1.3342
-3.6733 3.7816 3.6343
Rh Ag N
4 1 2
direct
0.7516 0.7516 0.4968 Rh
0.2484 0.2484 0.5032 Rh
0.0000 0.5000 0.0000 Rh
0.5000 0.0000 0.0000 Rh
0.0000 0.0000 0.0000 Ag
0.5936 0.5936 0.8128 N
0.4064 0.4064 0.1872 N
```

An optimized crystal structure of AgRh3N. Source: Alexandria, functional PBE.

Summary:
Offset from the most stable computed form: 0.00 eV/f.u.
Formation energy from raw total energies: 0.227 eV/atom
N(E_F): 4.65 states/eV per cell
SG: Pm-3m
Spin magnetization: 0.00 μB per formula unit

```
AgRh3N
1.0
4.0978 0.0000 0.0000
0.0000 4.0978 0.0000
0.0000 0.0000 4.0978
Rh Ag N
3 1 1
direct
0.0000 0.5000 0.0000 Rh
0.0000 0.0000 0.5000 Rh
0.5000 0.0000 0.0000 Rh
0.5000 0.5000 0.5000 Ag
0.0000 0.0000 0.0000 N
```

An optimized crystal structure of AgRuRh2N. Source: Alexandria, functional PBE.

Summary:
Formation energy from raw total energies: 0.294 eV/atom
N(E_F): 7.03 states/eV per cell
SG: P4/mmm
Spin magnetization: 0.17 μB per formula unit

```
AgRuRh2N
1.0
4.1345 0.0000 0.0000
0.0000 4.1345 0.0000
0.0000 0.0000 4.0023
Ru Rh Ag N
1 2 1 1
direct
0.0000 0.0000 0.5000 Ru
0.0000 0.5000 0.0000 Rh
0.5000 0.0000 0.0000 Rh
0.5000 0.5000 0.5000 Ag
0.0000 0.0000 0.0000 N
```

An optimized crystal structure of AgRhS2N. Source: Alexandria, functional PBE.

Summary:
Offset from the most stable computed form: 0.00 eV/f.u.
Formation energy from raw total energies: 0.617 eV/atom
N(E_F): 4.38 states/eV per cell
SG: P4/mmm
Spin magnetization: 0.31 μB per formula unit

```
AgRhS2N
1.0
4.9324 0.0000 0.0000
0.0000 4.9324 0.0000
0.0000 0.0000 3.6198
S Rh Ag N
2 1 1 1
direct
0.0000 0.5000 0.0000 S
0.5000 0.0000 0.0000 S
0.0000 0.0000 0.0000 Rh
0.5000 0.5000 0.5000 Ag
0.0000 0.0000 0.5000 N
```

An optimized crystal structure of AgRhS2N. Source: Alexandria, functional PBE.

Summary:
Offset from the most stable computed form: 5.11 eV/f.u.
Formation energy from raw total energies: 1.638 eV/atom
N(E_F): 4.34 states/eV per cell
SG: P4/mmm
Spin magnetization: 1.61 μB per formula unit

```
AgRhS2N
1.0
4.8467 0.0000 0.0000
0.0000 4.8467 0.0000
0.0000 0.0000 3.7804
S Rh Ag N
2 1 1 1
direct
0.0000 0.5000 0.0000 S
0.5000 0.0000 0.0000 S
0.5000 0.5000 0.5000 Rh
0.0000 0.0000 0.0000 Ag
0.0000 0.0000 0.5000 N
```

An optimized crystal structure of AgRhSe2N. Source: Alexandria, functional PBE.

Summary:
Offset from the most stable computed form: 0.00 eV/f.u.
Formation energy from raw total energies: 0.481 eV/atom
N(E_F): 4.27 states/eV per cell
SG: P4/mmm
Spin magnetization: 0.00 μB per formula unit

```
AgRhSe2N
1.0
-3.6247 -1.7465 3.2843
1.7939 -4.8379 -0.5929
2.2664 0.5011 2.7678
Rh Se Ag N
1 2 1 1
direct
0.0000 0.0000 0.0000 Rh
0.0000 0.5000 0.0000 Se
0.5000 0.0000 0.0000 Se
0.5000 0.5000 0.5000 Ag
0.0000 0.0000 0.5000 N
```

An optimized crystal structure of AgRhSeN2. Source: Alexandria, functional PBE.

Summary:
Offset from the most stable computed form: 0.38 eV/f.u.
Formation energy from raw total energies: 1.054 eV/atom
N(E_F): 4.70 states/eV per cell
SG: P4/mmm
Spin magnetization: 0.08 μB per formula unit

```
AgRhSeN2
1.0
-2.9165 -1.6414 1.6922
1.1348 -5.4274 -3.3085
2.2635 -1.1970 2.7400
Rh Se Ag N
1 1 1 2
direct
0.0000 0.0000 0.0000 Rh
0.5000 0.5000 0.5000 Se
0.0000 0.5000 0.0000 Ag
0.0000 0.0000 0.5000 N
0.5000 0.0000 0.0000 N
```

An optimized crystal structure of AgRhSeN2. Source: Alexandria, functional PBE.

Summary:
Offset from the most stable computed form: 5.29 eV/f.u.
Formation energy from raw total energies: 2.035 eV/atom
N(E_F): 5.51 states/eV per cell
SG: P4/mmm
Spin magnetization: 4.31 μB per formula unit

```
AgRhSeN2
1.0
3.9225 0.0000 0.0000
0.0000 3.9225 0.0000
0.0000 0.0000 5.8920
Rh Se Ag N
1 1 1 2
direct
0.5000 0.5000 0.5000 Rh
0.0000 0.0000 0.5000 Se
0.0000 0.0000 0.0000 Ag
0.0000 0.5000 0.0000 N
0.5000 0.0000 0.0000 N
```

An optimized crystal structure of AgRhSeN2. Source: Alexandria, functional PBE.

Summary:
Offset from the most stable computed form: 0.00 eV/f.u.
Formation energy from raw total energies: 0.978 eV/atom
N(E_F): 3.35 states/eV per cell
SG: P4/mmm
Spin magnetization: 0.40 μB per formula unit

```
AgRhSeN2
1.0
-2.9579 -0.2322 2.3749
-2.2523 -0.9775 -2.9008
1.1728 -5.4544 0.9273
Rh Se Ag N
1 1 1 2
direct
0.0000 0.0000 0.0000 Rh
0.0000 0.0000 0.5000 Se
0.5000 0.5000 0.5000 Ag
0.0000 0.5000 0.0000 N
0.5000 0.0000 0.0000 N
```

An optimized crystal structure of AgRhSe2N. Source: Alexandria, functional PBE.

Summary:
Offset from the most stable computed form: 4.92 eV/f.u.
Formation energy from raw total energies: 1.464 eV/atom
N(E_F): 3.62 states/eV per cell
SG: P4/mmm
Spin magnetization: 1.51 μB per formula unit

```
AgRhSe2N
1.0
5.1021 0.0000 0.0000
0.0000 5.1021 0.0000
0.0000 0.0000 3.8588
Rh Se Ag N
1 2 1 1
direct
0.5000 0.5000 0.5000 Rh
0.0000 0.5000 0.0000 Se
0.5000 0.0000 0.0000 Se
0.0000 0.0000 0.0000 Ag
0.0000 0.0000 0.5000 N
```

An optimized crystal structure of Sr2AgRhN. Source: Alexandria, functional PBE.

Summary:
Formation energy from raw total energies: -0.476 eV/atom
N(E_F): 3.19 states/eV per cell
SG: P4/mmm
Spin magnetization: 0.00 μB per formula unit

```
Sr2AgRhN
1.0
5.4447 0.0000 0.0000
0.0000 5.4447 0.0000
0.0000 0.0000 3.8505
Sr Rh Ag N
2 1 1 1
direct
0.0000 0.5000 0.0000 Sr
0.5000 0.0000 0.0000 Sr
0.0000 0.0000 0.5000 Rh
0.5000 0.5000 0.5000 Ag
0.0000 0.0000 0.0000 N
```

An optimized crystal structure of Ta2AgRhN. Source: Alexandria, functional PBE.

Summary:
Formation energy from raw total energies: 2.958 eV/atom
N(E_F): 6.78 states/eV per cell
SG: P4/mmm
Spin magnetization: 0.00 μB per formula unit

```
Ta2AgRhN
1.0
4.8550 0.0000 0.0000
0.0000 4.7257 0.0000
0.0000 0.0000 4.8550
N Rh Ag Ta
1 1 1 2
direct
0.5000 0.5000 0.5000 N
0.0000 0.5000 0.0000 Rh
0.0000 0.0000 0.0000 Ag
0.0000 0.0000 0.5000 Ta
0.5000 0.0000 0.0000 Ta
```

An optimized crystal structure of AgTeRhN2. Source: Alexandria, functional PBE.

Summary:
Offset from the most stable computed form: 0.00 eV/f.u.
Formation energy from raw total energies: 1.015 eV/atom
N(E_F): 3.49 states/eV per cell
SG: P4/mmm
Spin magnetization: 0.52 μB per formula unit

```
AgTeRhN2
1.0
-0.5013 -3.5765 -1.4055
0.9388 -1.4885 3.4528
-5.6622 0.1612 1.6091
Te Rh Ag N
1 1 1 2
direct
0.0000 0.0000 0.5000 Te
0.0000 0.0000 0.0000 Rh
0.5000 0.5000 0.5000 Ag
0.0000 0.5000 0.0000 N
0.5000 0.0000 0.0000 N
```